## LiNd3 (PBE-GGA)

Data for crystalline LiNd3 at its relaxed geometry.

Structure (POSCAR):
```
LiNd3
1.0
-2.465 2.465 5.187
2.465 -2.465 5.187
2.465 2.465 -5.187
Li Nd
1 3
Direct
0.000 0.000 0.000
0.250 0.750 0.500
0.500 0.500 0.000
0.750 0.250 0.500
```

Computed properties:
- Energy above the most stable polymorph in this dataset: 0.074 eV/atom

=====

## Li3Nd (PBE-GGA)

Data for crystalline Li3Nd at its relaxed geometry.

Structure (POSCAR):
```
Li3Nd
1.0
4.694 0.000 0.000
0.000 4.694 0.000
0.000 0.000 4.694
Li Nd
3 1
Direct
0.000 0.000 0.500
0.000 0.500 0.000
0.500 0.000 0.000
0.500 0.500 0.500
```

Computed properties:
- Energy above the most stable polymorph in this dataset: 0.227 eV/atom

=====

## LiNd3 (PBE-GGA)

Data for crystalline LiNd3 at its relaxed geometry.

Structure (POSCAR):
```
LiNd3
1.0
-1.912 5.762 2.862
1.912 -5.762 2.862
1.912 5.762 -2.862
Li Nd
1 3
Direct
0.000 0.000 0.000
0.230 0.503 0.727
0.501 0.001 0.500
0.776 0.503 0.273
```

Computed properties:
- Energy above the most stable polymorph in this dataset: 0.000 eV/atom

=====

## LiNd3 (PBE-GGA)

Data for crystalline LiNd3 at its relaxed geometry.

Structure (POSCAR):
```
LiNd3
1.0
5.024 0.000 0.000
0.000 5.024 0.000
0.000 0.000 5.024
Li Nd
1 3
Direct
0.000 0.000 0.000
0.000 0.500 0.500
0.500 0.000 0.500
0.500 0.500 0.000
```

Computed properties:
- Energy above the most stable polymorph in this dataset: 0.084 eV/atom

=====

## LiNd2Ni9 (PBE-GGA)

Data for crystalline LiNd2Ni9 at its relaxed geometry.

Structure (POSCAR):
```
LiNd2Ni9
1.0
2.490 1.437 8.112
-2.490 1.437 8.112
0.000 -2.875 8.112
Li Nd Ni
1 2 9
Direct
0.000 0.000 0.000
0.134 0.134 0.134
0.866 0.866 0.866
0.080 0.580 0.580
0.333 0.333 0.333
0.420 0.420 0.920
0.420 0.920 0.420
0.500 0.500 0.500
0.580 0.080 0.580
0.580 0.580 0.080
0.667 0.667 0.667
0.920 0.420 0.420
```

Computed properties:
- Total energy: -5.44 eV/atom

=====

## LiNdNi (PBE-GGA)

Data for crystalline LiNdNi at its relaxed geometry.

Structure (POSCAR):
```
LiNdNi
1.0
3.851 0.000 0.000
0.000 3.971 0.000
-1.907 0.000 8.684
Li Nd Ni
2 2 2
Direct
0.207 0.250 0.415
0.793 0.750 0.585
0.409 0.250 0.815
0.591 0.750 0.185
0.040 0.250 0.081
0.960 0.750 0.919
```

Computed properties:
- Energy above the most stable polymorph in this dataset: 0.000 eV/atom

=====

## LiNd4Ni2 (PBE-GGA)

Data for crystalline LiNd4Ni2 at its relaxed geometry.

Structure (POSCAR):
```
LiNd4Ni2
1.0
6.873 0.000 0.000
-1.467 6.849 0.000
-2.695 -3.412 7.598
Li Nd Ni
2 8 4
Direct
0.000 0.000 0.000
0.228 0.732 0.454
0.210 0.581 0.081
0.318 0.163 0.789
0.357 0.226 0.372
0.459 0.674 0.783
0.756 0.332 0.200
0.758 0.101 0.667
0.781 0.858 0.253
0.903 0.617 0.669
0.043 0.291 0.525
0.384 0.962 0.044
0.565 0.644 0.409
0.744 0.494 0.928
```

Computed properties:
- Total energy: -4.76 eV/atom

=====

## LiNdNi2 (PBE-GGA)

Data for crystalline LiNdNi2 at its relaxed geometry.

Structure (POSCAR):
```
LiNdNi2
1.0
2.067 1.193 4.730
-2.067 1.193 4.730
0.000 -2.386 4.730
Li Nd Ni
1 1 2
Direct
0.000 0.000 0.000
0.500 0.500 0.500
0.301 0.301 0.301
0.699 0.699 0.699
```

Computed properties:
- Energy above the most stable polymorph in this dataset: 0.000 eV/atom

=====

## LiNdNi (PBE-GGA)

Data for crystalline LiNdNi at its relaxed geometry.

Structure (POSCAR):
```
LiNdNi
1.0
6.220 -1.982 0.000
6.220 1.982 0.000
-0.855 0.000 5.269
Li Nd Ni
2 2 2
Direct
0.095 0.095 0.306
0.905 0.905 0.694
0.365 0.365 0.174
0.635 0.635 0.826
0.266 0.266 0.641
0.734 0.734 0.359
```

Computed properties:
- Energy above the most stable polymorph in this dataset: 0.056 eV/atom

=====

## Li3NdNi8 (PBE-GGA)

Data for crystalline Li3NdNi8 at its relaxed geometry.

Structure (POSCAR):
```
Li3NdNi8
1.0
2.423 1.399 7.936
-2.423 1.399 7.936
0.000 -2.798 7.936
Li Nd Ni
3 1 8
Direct
0.000 0.000 0.000
0.113 0.113 0.113
0.481 0.481 0.481
0.612 0.612 0.612
0.047 0.047 0.543
0.047 0.543 0.047
0.055 0.550 0.550
0.300 0.300 0.300
0.543 0.047 0.047
0.550 0.055 0.550
0.550 0.550 0.055
0.799 0.799 0.799
```

Computed properties:
- Total energy: -4.87 eV/atom

=====

## Li2NdNi (PBE-GGA)

Data for crystalline Li2NdNi at its relaxed geometry.

Structure (POSCAR):
```
Li2NdNi
1.0
1.504 0.869 10.216
-1.504 0.869 10.216
0.000 -1.737 10.216
Li Nd Ni
2 1 1
Direct
0.104 0.104 0.104
0.896 0.896 0.896
0.000 0.000 0.000
0.500 0.500 0.500
```

Computed properties:
- Total energy: -3.19 eV/atom

=====

## LiNdNi4 (PBE-GGA)

Data for crystalline LiNdNi4 at its relaxed geometry.

Structure (POSCAR):
```
LiNdNi4
1.0
0.000 3.507 3.507
3.507 0.000 3.507
3.507 3.507 0.000
Li Nd Ni
1 1 4
Direct
0.000 0.000 0.000
0.750 0.750 0.750
0.374 0.374 0.374
0.374 0.374 0.878
0.374 0.878 0.374
0.878 0.374 0.374
```

Computed properties:
- Total energy: -5.24 eV/atom

=====

## LiNd8Ni2 (PBE-GGA)

Data for crystalline LiNd8Ni2 at its relaxed geometry.

Structure (POSCAR):
```
LiNd8Ni2
1.0
4.263 -6.872 0.000
4.263 6.872 0.000
-1.373 0.000 5.630
Li Nd Ni
1 8 2
Direct
0.000 0.000 0.000
0.082 0.338 0.579
0.248 0.751 0.001
0.338 0.082 0.579
0.396 0.396 0.200
0.604 0.604 0.801
0.662 0.917 0.421
0.751 0.248 0.001
0.917 0.662 0.421
0.297 0.704 0.502
0.704 0.297 0.502
```

Computed properties:
- Total energy: -4.69 eV/atom

=====

## LiNdNi (PBE-GGA)

Data for crystalline LiNdNi at its relaxed geometry.

Structure (POSCAR):
```
LiNdNi
1.0
4.278 0.000 0.000
-2.139 3.705 0.000
0.000 0.000 3.766
Li Nd Ni
1 1 1
Direct
0.000 0.000 0.000
0.667 0.333 0.500
0.333 0.667 0.000
```

Computed properties:
- Energy above the most stable polymorph in this dataset: 0.128 eV/atom

=====

| no. | theoretical density (Mg/m³) |
| --- | --- |
| 1 | 5.79 |
| 2 | 2.65 |
| 3 | 5.79 |
| 4 | 5.76 |
| 5 | 7.85 |
| 6 | 5.25 |
| 7 | 6.51 |
| 8 | 6.37 |
| 9 | 5.37 |
| 10 | 6.53 |
| 11 | 4.50 |
| 12 | 7.43 |
| 13 | 6.44 |
| 14 | 5.84 |